Crystalline Zn2Co3Ge2 at its relaxed geometry. Source: Alexandria via LeMat-Bulk, functional GGA-PBE.

Cell lengths 4.017, 4.016, 6.956 Å; angles 90.03, 106.81, 120.03 degrees
Sites, in units of the cell vectors:
Zn 0.268 0.134 0.402
Zn 0.732 0.866 0.598
Co 0.000 0.000 0.000
Co 0.526 0.263 0.788
Co 0.474 0.737 0.212
Ge 0.776 0.388 0.164
Ge 0.224 0.612 0.836

Calculated values
The value obtained for the magnetic moment is 0.0 Bohr magnetons per cell. As for the crystal system: monoclinic. For the energy of formation, the calculation gives -149.3 meV/atom.